(1)
{"formula": "NaIn2Ge2", "functional": "PBE", "state": "relaxed", "lattice": [[4.964, 0.000, 0.000], [0.000, 4.964, 0.000], [2.482, 2.482, 5.311]], "species": ["In", "In", "Na", "Ge", "Ge"], "fractional_positions": [[0.750, 0.250, 0.500], [0.250, 0.750, 0.500], [0.000, 0.000, 0.000], [0.618, 0.618, 0.763], [0.382, 0.382, 0.237]], "formation_enthalpy_0k_kj_per_mol_fu": -1, "dft_energy_ev_per_cell": -16.04, "space_group": "I4/mmm, No. 139", "de_polymorph_ev_per_atom": 0.000}

---

(2)
{"formula": "Tb3NdSm2Y6", "functional": "PBE", "state": "relaxed", "lattice": [[-1.924, -3.901, 4.442], [5.240, 3.254, 0.781], [-7.199, 8.851, 3.210]], "species": ["Y", "Y", "Tb", "Y", "Sm", "Tb", "Y", "Sm", "Tb", "Nd", "Y", "Y"], "fractional_positions": [[0.418, 0.085, 0.252], [0.249, 0.249, 0.748], [0.167, 0.833, 0.500], [0.085, 0.418, 0.252], [0.667, 0.333, 0.000], [0.833, 0.167, 0.500], [0.915, 0.582, 0.748], [0.333, 0.667, 0.000], [0.500, 0.500, 0.500], [0.000, 0.000, 0.000], [0.751, 0.751, 0.252], [0.582, 0.915, 0.748]], "formation_enthalpy_0k_kj_per_mol_fu": 19, "dft_energy_ev_per_cell": -66.69, "space_group": "C2/m, No. 12"}

---

(3)
{"formula": "KNa2Fe", "functional": "PBE", "state": "relaxed", "lattice": [[4.860, 0.000, 0.000], [0.000, 4.860, 0.000], [2.430, 2.430, 11.837]], "species": ["Na", "Na", "K", "Fe", "K", "Na", "Fe", "Na"], "fractional_positions": [[0.088, 0.625, 0.250], [0.662, 0.125, 0.250], [0.250, 0.750, 0.500], [0.000, 0.000, 0.000], [0.500, 0.500, 0.000], [0.375, 0.338, 0.750], [0.750, 0.250, 0.500], [0.875, 0.912, 0.750]], "formation_enthalpy_0k_kj_per_mol_fu": 329, "dft_energy_ev_per_cell": -17.57, "space_group": "I-42d, No. 122", "de_polymorph_ev_per_atom": 0.094}

---

(4)
{"formula": "UTiMo", "functional": "PBE", "state": "relaxed", "lattice": [[2.826, 0.000, 0.000], [-1.413, 2.448, 0.000], [0.000, 0.000, 7.824]], "species": ["Ti", "Mo", "U"], "fractional_positions": [[0.333, 0.667, 0.677], [0.000, 0.000, 0.985], [0.667, 0.333, 0.338]], "formation_enthalpy_0k_kj_per_mol_fu": 93, "dft_energy_ev_per_cell": -29.05, "space_group": "P3m1, No. 156", "de_polymorph_ev_per_atom": 0.012}